(P)
# Mn2As2Os | Alexandria via LeMat-Bulk | PBE | optimized geometry
# crystal system	tetragonal
# magnetization	12.20	Bohr magnetons per cell
data_Mn2As2Os
_chemical_formula_sum 'Mn4 As4 Os2'
_cell_length_a 6.665
_cell_length_b 6.665
_cell_length_c 3.314
_cell_angle_alpha 90.00
_cell_angle_beta 90.00
_cell_angle_gamma 90.00
_symmetry_space_group_name_H-M 'P 1'
_symmetry_Int_Tables_number 1
_symmetry_space_group_name_Hall 'P 1'
loop_
_atom_site_label
_atom_site_fract_x
_atom_site_fract_y
_atom_site_fract_z
As1 0.656 0.156 0.000
As2 0.344 0.844 0.000
As3 0.844 0.656 0.000
As4 0.156 0.344 0.000
Os1 0.000 0.000 0.000
Os2 0.500 0.500 0.000
Mn1 0.140 0.640 0.500
Mn2 0.860 0.360 0.500
Mn3 0.360 0.140 0.500
Mn4 0.640 0.860 0.500

(Q)
# Mn2As2Os | Alexandria via LeMat-Bulk | PBE | optimized geometry
# crystal system	tetragonal
# magnetization	2.09	Bohr magnetons per cell
data_Mn2As2Os
_chemical_formula_sum 'Mn2 As2 Os1'
_cell_length_a 4.980
_cell_length_b 4.980
_cell_length_c 4.980
_cell_angle_alpha 128.98
_cell_angle_beta 128.98
_cell_angle_gamma 75.04
_symmetry_space_group_name_H-M 'P 1'
_symmetry_Int_Tables_number 1
_symmetry_space_group_name_Hall 'P 1'
loop_
_atom_site_label
_atom_site_fract_x
_atom_site_fract_y
_atom_site_fract_z
Os1 0.000 0.000 0.000
Mn1 0.374 0.374 0.000
Mn2 0.626 0.626 0.000
As1 0.750 0.250 0.500
As2 0.250 0.750 0.500

Energetically preferred structure: (P) | next structure: +556 meV per atom